DFT (GGA-PBE) results for Ho7Zn2Pd2 after structural relaxation.

```
data_Ho7Zn2Pd2
_cell_length_a 6.641
_cell_length_b 6.641
_cell_length_c 7.111
_cell_angle_alpha 90.00
_cell_angle_beta 90.00
_cell_angle_gamma 109.19
_symmetry_space_group_name_H-M 'P 1'
_symmetry_Int_Tables_number 1
_symmetry_space_group_name_Hall 'P 1'
loop_
_atom_site_label
_atom_site_type_symbol
_atom_site_fract_x
_atom_site_fract_y
_atom_site_fract_z
Ho1 Ho 0.000 0.000 0.000
Ho2 Ho 0.000 0.500 0.267
Ho3 Ho 0.000 0.500 0.733
Ho4 Ho 0.500 0.000 0.267
Ho5 Ho 0.500 0.000 0.733
Ho6 Ho 0.500 0.500 0.261
Ho7 Ho 0.500 0.500 0.739
Zn1 Zn 0.168 0.168 0.500
Zn2 Zn 0.832 0.832 0.500
Pd1 Pd 0.292 0.708 0.000
Pd2 Pd 0.708 0.292 0.000
```

Values from the calculation:
DOS(E_F)   11.763 states/eV/f.u.
ΔH_f (0 K)   -6.06 kcal/mol of atoms
V   26.93 Å³ per atom
Spin magnetization   0.00 Bohr magnetons per cell